The following is a GGA-PBEsol calculation of MnTc2Ag after structural relaxation, from Alexandria.

a b c (Å): 3.7139 3.7139 4.0632
angles (deg): 90.00 90.00 90.00
Space group P4/mmm (No. 123)
Inequivalent atoms, fractional coordinates:
1 Mn 0.0000 0.0000 0.0000
2 Tc 0.0000 0.5000 0.5000
3 Ag 0.5000 0.5000 0.0000

Summary:
DFT formation energy	166	kJ/mol of formula units

---

The following is a GGA-PBEsol calculation of ZrH2IrRu after structural relaxation, from Alexandria.

a b c (Å): 3.5975 3.5975 4.9380
angles (deg): 90.00 90.00 90.00
Space group P4/mmm (No. 123)
Inequivalent atoms, fractional coordinates:
1 Zr 0.0000 0.0000 0.0000
2 H 0.0000 0.5000 0.5000
3 Ir 0.5000 0.5000 0.5000
4 Ru 0.5000 0.5000 0.0000

Summary:
final energy	-6.834	eV/atom

---

The following is a GGA-PBEsol calculation of CdCuP after structural relaxation, from Alexandria.

a b c (Å): 2.7060 3.4887 10.2211
angles (deg): 90.00 90.00 90.00
Space group Imm2 (No. 44)
Inequivalent atoms, fractional coordinates:
1 Cd 0.0000 0.0000 0.0000
2 Cu 0.0000 0.0000 0.3124
3 P 0.0000 0.0000 0.7102

Summary:
DFT formation energy	60	kJ/mol of formula units

---

The following is a GGA-PBEsol calculation of Ca2OsC after structural relaxation, from Alexandria.

a b c (Å): 9.8052 9.8052 3.8741
angles (deg): 90.00 90.00 90.00
Space group I-42d (No. 122)
Inequivalent atoms, fractional coordinates:
1 Ca 0.0631 0.2500 0.1250
2 Os 0.0000 0.0000 0.5000
3 C 0.0000 0.0000 0.0000

Summary:
DFT formation energy	49	kJ/mol of formula units

---

The following is a GGA-PBEsol calculation of CuRh2Au after structural relaxation, from Alexandria.

a b c (Å): 2.7235 2.7235 7.4980
angles (deg): 90.00 90.00 90.00
Space group P4mm (No. 99)
Inequivalent atoms, fractional coordinates:
1 Cu 0.0000 0.0000 0.0000
2 Rh 0.0000 0.0000 0.4702
3 Rh 0.5000 0.5000 0.2362
4 Au 0.5000 0.5000 0.7495

Summary:
DFT formation energy	24	kJ/mol of formula units

---

The following is a GGA-PBEsol calculation of TlTcNi2 after structural relaxation, from Alexandria.

a b c (Å): 2.7931 2.7931 7.1741
angles (deg): 90.00 90.00 90.00
Space group P4/mmm (No. 123)
Inequivalent atoms, fractional coordinates:
1 Tl 0.0000 0.0000 0.0000
2 Tc 0.0000 0.0000 0.5000
3 Ni 0.5000 0.5000 0.2754

Summary:
DFT formation energy	114	kJ/mol of formula units

---

The following is a GGA-PBEsol calculation of TlGeTe2 after structural relaxation, from Alexandria.

a b c (Å): 3.2469 3.2469 35.7351
angles (deg): 90.00 90.00 120.00
Space group R-3m (No. 166, hexagonal axes)
Inequivalent atoms, fractional coordinates:
1 Tl 0.0000 0.0000 0.0000
2 Ge 0.0000 0.0000 0.5000
3 Te 0.0000 0.0000 0.4182

Summary:
energy relative to the elements, uncorrected	0.1719	eV per atom

---

The following is a GGA-PBEsol calculation of CdFeAg2 after structural relaxation, from Alexandria.

a b c (Å): 2.8462 3.8504 5.8518
angles (deg): 90.00 90.00 90.00
Space group Pmm2 (No. 25)
Inequivalent atoms, fractional coordinates:
1 Cd 0.0000 0.0000 0.0000
2 Fe 0.5000 0.5000 0.2506
3 Ag 0.0000 0.0000 0.4766
4 Ag 0.5000 0.5000 0.7332

Summary:
DFT formation energy	97	kJ/mol of formula units

---

The following is a GGA-PBEsol calculation of SrZrP2Rh after structural relaxation, from Alexandria.

a b c (Å): 5.0121 5.0121 4.7518
angles (deg): 90.00 90.00 90.00
Space group P4/mmm (No. 123)
Inequivalent atoms, fractional coordinates:
1 Sr 0.0000 0.0000 0.0000
2 Zr 0.5000 0.5000 0.5000
3 P 0.0000 0.5000 0.5000
4 Rh 0.5000 0.5000 0.0000

Summary:
DFT formation energy	-66	kJ/mol of formula units

---

The following is a GGA-PBEsol calculation of Mg2AlIn after structural relaxation, from Alexandria.

a b c (Å): 10.1320 3.2207 5.2281
angles (deg): 90.00 100.29 90.00
Space group Cm (No. 8)
Inequivalent atoms, fractional coordinates:
1 Mg 0.0000 0.0000 0.0000
2 Mg 0.2443 0.0000 0.7324
3 Al 0.2457 0.5000 0.2232
4 In 0.4920 0.0000 0.4905

Summary:
DFT formation energy	-5	kJ/mol of formula units

---

The following is a GGA-PBEsol calculation of Y2InAs after structural relaxation, from Alexandria.

a b c (Å): 3.9331 3.9331 23.4515
angles (deg): 90.00 90.00 120.00
Space group R-3m (No. 166, hexagonal axes)
Inequivalent atoms, fractional coordinates:
1 Y 0.0000 0.0000 0.2374
2 In 0.0000 0.0000 0.0000
3 As 0.0000 0.0000 0.5000

Summary:
DFT formation energy	-376	kJ/mol of formula units

---

The following is a GGA-PBEsol calculation of NaPtI2N after structural relaxation, from Alexandria.

a b c (Å): 5.4901 5.4901 4.1446
angles (deg): 90.00 90.00 90.00
Space group P4/mmm (No. 123)
Inequivalent atoms, fractional coordinates:
1 Na 0.0000 0.0000 0.0000
2 Pt 0.5000 0.5000 0.5000
3 I 0.0000 0.5000 0.0000
4 N 0.0000 0.0000 0.5000

Summary:
energy relative to the elements, uncorrected	1.4175	eV per atom

---

Asked for total magnetization across the records above, the calculation gives 2.63, 0.00, 0.00, 0.00, 0.00, 0.00, 0.00, 2.72, 0.00, 0.00, 0.00, 3.16 μB/f.u. in order.